No. 1
The following is a GGA-PBE calculation of Sr2B2N3 after structural relaxation, from Alexandria via LeMat-Bulk.

```
Sr2B2N3
1.0
6.7523 -1.9044 0.0000
6.7523 1.9044 0.0000
-0.3688 0.0000 4.0873
Sr B N
2 2 3
Direct
0.1483 0.1483 0.2428
0.8517 0.8517 0.7572
0.4355 0.4355 0.2429
0.5645 0.5645 0.7571
0.3388 0.3388 0.3073
0.5000 0.5000 0.0000
0.6612 0.6612 0.6927
```

Summary:
total DFT energy (no corrections) = -6.891 eV/atom
formation energy without anion corrections = -0.93 eV per atom



No. 2
The following is a GGA-PBE calculation of Rb2ZnTeS after structural relaxation, from Alexandria via LeMat-Bulk.

```
Rb2ZnTeS
1.0
6.5274 0.0000 0.0000
0.0000 6.5274 0.0000
0.0000 0.0000 4.4695
Rb Zn Te S
2 1 1 1
Direct
0.0000 0.5000 0.0000
0.5000 0.0000 0.0000
0.0000 0.0000 0.5000
0.5000 0.5000 0.5000
0.0000 0.0000 0.0000
```

Summary:
total DFT energy (no corrections) = -2.714 eV/atom
formation energy without anion corrections = -0.62 eV per atom



No. 3
The following is a GGA-PBE calculation of Pu2SN after structural relaxation, from Alexandria via LeMat-Bulk.

```
Pu2SN
1.0
1.8395 1.0620 6.2457
-1.8395 1.0620 6.2457
0.0000 -2.1240 6.2457
Pu S N
2 1 1
Direct
0.2376 0.2376 0.2376
0.7624 0.7624 0.7624
0.0000 0.0000 0.0000
0.5000 0.5000 0.5000
```

Summary:
total DFT energy (no corrections) = -11.744 eV/atom
formation energy without anion corrections = -1.46 eV per atom